Ba2ZnInPt | PBE-GGA | relaxed

Values from the calculation:
- Magnetic moment: 0.00 μB/f.u.
- V: 197 Å³ per cell
- Formation energy from the elements: -356 meV per atom
- Crystal system: tetragonal

abc: 6.1603 6.1603 5.1862
angles: 90.00 90.00 90.00
Space group P4/mmm (No. 123)
One atom of each set of equivalent atoms:
Ba1 0.0000 0.5000 0.0000
Zn1 0.0000 0.0000 0.5000
In1 0.5000 0.5000 0.5000
Pt1 0.5000 0.5000 0.0000